First-principles (GGA-PBE) data for Sm2Tm8Sc after structural relaxation, as listed in Alexandria.

Calculated values
The relative energy among the computed polymorphs is 0.70 eV/f.u. Its crystal system is monoclinic. As for the calculated volume: 339.4 Å³ per cell. For the total energy, the calculation gives -4.505 eV/atom. The space-group type is C2/m.

```
Sm2Tm8Sc
1.0
5.9289 0.0000 -2.6731
-0.7390 6.3077 -1.6390
0.3588 0.6580 8.7074
Tm Sc Sm
8 1 2
Direct
0.1909 0.8069 0.3818
0.3401 0.3890 0.1646
0.8091 0.1931 0.6182
0.1755 0.6110 0.8354
0.4091 0.0902 0.8182
0.8245 0.3890 0.1646
0.6599 0.6110 0.8354
0.5909 0.9098 0.1818
0.0000 0.0000 0.0000
0.7539 0.6783 0.5077
0.2461 0.3217 0.4923
```